Entry 1:
## Li2AgF2 (PBE)

Data for Li2AgF2 after structural relaxation. Values from VASP.

Computed properties:
size of the total moment: 0.0 μB/cell
ΔE_f (raw): -1.6658 eV/atom

```
&SYSTEM
  ibrav = 0, nat = 10, ntyp = 3
/
ATOMIC_SPECIES
Li 6.94 Li.upf
Ag 107.87 Ag.upf
F 19.00 F.upf
CELL_PARAMETERS angstrom
6.9489 0.0000 0.0000
0.0000 6.9489 0.0000
0.0000 0.0000 2.7030
ATOMIC_POSITIONS crystal
Li 0.1094 0.3906 0.0000
Li 0.3906 0.8906 0.0000
Li 0.6094 0.1094 0.0000
Li 0.8906 0.6094 0.0000
Ag 0.0000 0.0000 0.0000
Ag 0.5000 0.5000 0.0000
F 0.1230 0.6230 0.5000
F 0.3770 0.1230 0.5000
F 0.6230 0.8770 0.5000
F 0.8770 0.3770 0.5000
```

---

Entry 2:
## Sr8MgAu2 (PBE)

Data for Sr8MgAu2 after structural relaxation. Values from VASP.

Computed properties:
energy relative to the elements: -0.28 eV/atom
size of the total moment: 0.0 μB/cell

```
&SYSTEM
  ibrav = 0, nat = 11, ntyp = 3
/
ATOMIC_SPECIES
Sr 87.62 Sr.upf
Mg 24.30 Mg.upf
Au 196.97 Au.upf
CELL_PARAMETERS angstrom
5.0322 -7.3992 0.0000
5.0322 7.3992 0.0000
-1.5466 0.0000 6.1490
ATOMIC_POSITIONS crystal
Sr 0.0000 0.0000 0.0000
Sr 0.0522 0.3147 0.6143
Sr 0.1357 0.6254 0.2000
Sr 0.3147 0.0522 0.6143
Sr 0.4460 0.7087 0.7856
Sr 0.6254 0.1357 0.2000
Sr 0.7087 0.4460 0.7856
Sr 0.7598 0.7598 0.3989
Mg 0.3793 0.3793 0.1987
Au 0.0668 0.6938 0.6998
Au 0.6938 0.0668 0.6998
```

---

Entry 3:
## LaTb8Dy5 (PBE)

Data for LaTb8Dy5 after structural relaxation. Values from VASP.

Computed properties:
energy relative to the elements: 0.24 eV/atom
size of the total moment: 0.0 μB/cell

```
&SYSTEM
  ibrav = 0, nat = 14, ntyp = 3
/
ATOMIC_SPECIES
La 138.91 La.upf
Tb 158.93 Tb.upf
Dy 162.50 Dy.upf
CELL_PARAMETERS angstrom
-4.7420 4.7420 5.1654
4.7420 -4.7420 5.1654
4.7420 4.7420 -5.1654
ATOMIC_POSITIONS crystal
La 0.0000 0.0000 0.0000
Tb 0.0881 0.6760 0.7592
Tb 0.2841 0.5342 0.1061
Tb 0.3240 0.0833 0.4121
Tb 0.4281 0.1780 0.8939
Tb 0.4658 0.5719 0.7498
Tb 0.6711 0.9119 0.5879
Tb 0.8220 0.7159 0.2502
Tb 0.9167 0.3289 0.2408
Dy 0.0311 0.2084 0.5960
Dy 0.2500 0.7500 0.5000
Dy 0.5649 0.9689 0.1773
Dy 0.6124 0.4351 0.4040
Dy 0.7916 0.3876 0.8227
```

---

Entry 4:
## Cs4Tm3ThSe8 (PBE)

Data for Cs4Tm3ThSe8 after structural relaxation. Values from VASP.

Computed properties:
size of the total moment: 0.0 μB/cell
ΔE_f (raw): -1.6571 eV/atom

```
&SYSTEM
  ibrav = 0, nat = 16, ntyp = 4
/
ATOMIC_SPECIES
Cs 132.91 Cs.upf
Tm 168.93 Tm.upf
Th 232.04 Th.upf
Se 78.96 Se.upf
CELL_PARAMETERS angstrom
4.2402 2.4481 8.4011
-4.2402 2.4481 8.4011
0.0000 -4.8962 8.4011
ATOMIC_POSITIONS crystal
Cs 0.0000 0.0000 0.0000
Cs 0.0000 0.5000 0.5000
Cs 0.5000 0.0000 0.5000
Cs 0.5000 0.5000 0.0000
Tm 0.0000 0.0000 0.5000
Tm 0.0000 0.5000 0.0000
Tm 0.5000 0.0000 0.0000
Th 0.5000 0.5000 0.5000
Se 0.2229 0.7319 0.7319
Se 0.2274 0.2274 0.2274
Se 0.2681 0.2681 0.7771
Se 0.2681 0.7771 0.2681
Se 0.7319 0.2229 0.7319
Se 0.7319 0.7319 0.2229
Se 0.7726 0.7726 0.7726
Se 0.7771 0.2681 0.2681
```

---

Entry 5:
## MgRu2Se (PBE)

Data for MgRu2Se after structural relaxation. Values from VASP.

Computed properties:
size of the total moment: 0.0 μB/cell
ΔE_f (raw): 0.1154 eV/atom

```
&SYSTEM
  ibrav = 0, nat = 4, ntyp = 3
/
ATOMIC_SPECIES
Mg 24.30 Mg.upf
Ru 101.07 Ru.upf
Se 78.96 Se.upf
CELL_PARAMETERS angstrom
0.0000 3.0821 3.0821
3.0821 0.0000 3.0821
3.0821 3.0821 0.0000
ATOMIC_POSITIONS crystal
Mg 0.0000 0.0000 0.0000
Ru 0.2500 0.2500 0.2500
Ru 0.7500 0.7500 0.7500
Se 0.5000 0.5000 0.5000
```

---

Entry 6:
## NdDyIr (PBE)

Data for NdDyIr after structural relaxation. Values from VASP.

Computed properties:
energy relative to the elements: -0.55 eV/atom
size of the total moment: 0.0 μB/cell

```
&SYSTEM
  ibrav = 0, nat = 6, ntyp = 3
/
ATOMIC_SPECIES
Nd 144.24 Nd.upf
Dy 162.50 Dy.upf
Ir 192.22 Ir.upf
CELL_PARAMETERS angstrom
3.2468 -3.2492 0.0000
3.2468 3.2492 0.0000
-3.2266 0.0000 7.3586
ATOMIC_POSITIONS crystal
Nd 0.1866 0.1866 0.3729
Nd 0.8134 0.8134 0.6271
Dy 0.0000 0.5000 0.0000
Dy 0.5000 0.0000 0.0000
Ir 0.3770 0.3770 0.7510
Ir 0.6230 0.6230 0.2490
```

---

Entry 7:
## CeYTm2Se6 (PBE)

Data for CeYTm2Se6 after structural relaxation. Values from VASP.

Computed properties:
size of the total moment: 1.0 μB/cell
ΔE_f (raw): -1.8160 eV/atom

```
&SYSTEM
  ibrav = 0, nat = 10, ntyp = 4
/
ATOMIC_SPECIES
Ce 140.12 Ce.upf
Y 88.91 Y.upf
Tm 168.93 Tm.upf
Se 78.96 Se.upf
CELL_PARAMETERS angstrom
3.6219 2.0911 6.4626
-3.6219 2.0911 6.4626
0.0000 -4.1822 6.4626
ATOMIC_POSITIONS crystal
Ce 0.0000 0.0000 0.0000
Y 0.4951 0.4951 0.4951
Tm 0.2980 0.2980 0.2980
Tm 0.8011 0.8011 0.8011
Se 0.0833 0.6795 0.4214
Se 0.1967 0.5822 0.9042
Se 0.4214 0.0833 0.6795
Se 0.5822 0.9042 0.1967
Se 0.6795 0.4214 0.0833
Se 0.9042 0.1967 0.5822
```

---

Entry 8:
## TaMn2As (PBE)

Data for TaMn2As after structural relaxation. Values from VASP.

Computed properties:
energy relative to the elements: -0.05 eV/atom
size of the total moment: 3.8 μB/cell

```
&SYSTEM
  ibrav = 0, nat = 4, ntyp = 3
/
ATOMIC_SPECIES
Ta 180.95 Ta.upf
Mn 54.94 Mn.upf
As 74.92 As.upf
CELL_PARAMETERS angstrom
4.3488 -1.6788 0.0000
4.3488 1.6788 0.0000
-1.5564 0.0000 3.9031
ATOMIC_POSITIONS crystal
Ta 0.0000 0.0000 0.0000
Mn 0.2450 0.2450 0.7396
Mn 0.7550 0.7550 0.2604
As 0.5000 0.5000 0.5000
```

---

Entry 9:
## CsBiSbTe3 (PBE)

Data for CsBiSbTe3 after structural relaxation. Values from VASP.

Computed properties:
size of the total moment: 0.0 μB/cell
ΔE_f (raw): -0.3393 eV/atom

```
&SYSTEM
  ibrav = 0, nat = 12, ntyp = 4
/
ATOMIC_SPECIES
Cs 132.91 Cs.upf
Bi 208.98 Bi.upf
Sb 121.76 Sb.upf
Te 127.60 Te.upf
CELL_PARAMETERS angstrom
10.3972 0.0000 0.0000
0.0000 4.5447 0.0000
-3.4096 0.0000 10.8800
ATOMIC_POSITIONS crystal
Cs 0.1937 0.2500 0.2332
Cs 0.8063 0.7500 0.7668
Bi 0.1306 0.2500 0.5809
Bi 0.8694 0.7500 0.4191
Sb 0.3542 0.7500 0.8634
Sb 0.6458 0.2500 0.1366
Te 0.1410 0.2500 0.8539
Te 0.3157 0.7500 0.5571
Te 0.4428 0.7500 0.1322
Te 0.5572 0.2500 0.8678
Te 0.6843 0.2500 0.4429
Te 0.8590 0.7500 0.1461
```

---

Entry 10:
## Tb12Sm6Er (PBE)

Data for Tb12Sm6Er after structural relaxation. Values from VASP.

Computed properties:
energy relative to the elements: 0.15 eV/atom
size of the total moment: 0.0 μB/cell

```
&SYSTEM
  ibrav = 0, nat = 19, ntyp = 3
/
ATOMIC_SPECIES
Tb 158.93 Tb.upf
Sm 150.36 Sm.upf
Er 167.26 Er.upf
CELL_PARAMETERS angstrom
5.9988 3.4634 5.0504
-5.9988 3.4634 5.0504
0.0000 -6.9269 5.0504
ATOMIC_POSITIONS crystal
Tb 0.0141 0.2015 0.3564
Tb 0.2015 0.3564 0.0141
Tb 0.2244 0.4603 0.5625
Tb 0.3564 0.0141 0.2015
Tb 0.4375 0.7756 0.5397
Tb 0.4603 0.5625 0.2244
Tb 0.5397 0.4375 0.7756
Tb 0.5625 0.2244 0.4603
Tb 0.6436 0.9859 0.7985
Tb 0.7756 0.5397 0.4375
Tb 0.7985 0.6436 0.9859
Tb 0.9859 0.7985 0.6436
Sm 0.0922 0.6928 0.2595
Sm 0.2595 0.0922 0.6928
Sm 0.3072 0.7405 0.9078
Sm 0.6928 0.2595 0.0922
Sm 0.7405 0.9078 0.3072
Sm 0.9078 0.3072 0.7405
Er 0.0000 0.0000 0.0000
```

---

Entry 11:
## Ce2HgGe3Rh4 (PBE)

Data for Ce2HgGe3Rh4 after structural relaxation. Values from VASP.

Computed properties:
energy relative to the elements: -0.71 eV/atom
size of the total moment: 0.9 μB/cell

```
&SYSTEM
  ibrav = 0, nat = 10, ntyp = 4
/
ATOMIC_SPECIES
Ce 140.12 Ce.upf
Hg 200.59 Hg.upf
Ge 72.64 Ge.upf
Rh 102.91 Rh.upf
CELL_PARAMETERS angstrom
4.0975 0.0000 0.0000
0.0000 4.0975 0.0000
0.0000 0.0000 11.3387
ATOMIC_POSITIONS crystal
Ce 0.0000 0.5000 0.2501
Ce 0.5000 0.0000 0.7499
Hg 0.0000 0.0000 0.5000
Ge 0.0000 0.5000 0.8801
Ge 0.5000 0.0000 0.1199
Ge 0.5000 0.5000 0.5000
Rh 0.0000 0.0000 0.0000
Rh 0.0000 0.5000 0.6672
Rh 0.5000 0.0000 0.3328
Rh 0.5000 0.5000 0.0000
```

---

Entry 12:
## BeTlInIr2 (PBE)

Data for BeTlInIr2 after structural relaxation. Values from VASP.

Computed properties:
energy relative to the elements: 1.56 eV/atom
size of the total moment: 0.6 μB/cell

```
&SYSTEM
  ibrav = 0, nat = 5, ntyp = 4
/
ATOMIC_SPECIES
Be 9.01 Be.upf
Tl 204.38 Tl.upf
In 114.82 In.upf
Ir 192.22 Ir.upf
CELL_PARAMETERS angstrom
5.0498 0.0000 0.0000
0.0000 5.0498 0.0000
0.0000 0.0000 4.3250
ATOMIC_POSITIONS crystal
Be 0.0000 0.0000 0.0000
Tl 0.0000 0.0000 0.5000
In 0.5000 0.5000 0.0000
Ir 0.0000 0.5000 0.5000
Ir 0.5000 0.0000 0.5000
```

---

Copy entry 9 word for word.
## CsBiSbTe3 (PBE)

Data for CsBiSbTe3 after structural relaxation. Values from VASP.

Computed properties:
size of the total moment: 0.0 μB/cell
ΔE_f (raw): -0.3393 eV/atom

```
&SYSTEM
  ibrav = 0, nat = 12, ntyp = 4
/
ATOMIC_SPECIES
Cs 132.91 Cs.upf
Bi 208.98 Bi.upf
Sb 121.76 Sb.upf
Te 127.60 Te.upf
CELL_PARAMETERS angstrom
10.3972 0.0000 0.0000
0.0000 4.5447 0.0000
-3.4096 0.0000 10.8800
ATOMIC_POSITIONS crystal
Cs 0.1937 0.2500 0.2332
Cs 0.8063 0.7500 0.7668
Bi 0.1306 0.2500 0.5809
Bi 0.8694 0.7500 0.4191
Sb 0.3542 0.7500 0.8634
Sb 0.6458 0.2500 0.1366
Te 0.1410 0.2500 0.8539
Te 0.3157 0.7500 0.5571
Te 0.4428 0.7500 0.1322
Te 0.5572 0.2500 0.8678
Te 0.6843 0.2500 0.4429
Te 0.8590 0.7500 0.1461
```